1.
Entry from the Alexandria database: an optimized crystal structure of Ti3Co2Ir (PBE-GGA).

The structure in extended XYZ format:
```
12
Lattice="4.2898 0.0000 0.0000 -2.1449 3.7151 0.0000 0.0000 0.0000 10.5242" Properties=species:S:1:pos:R:3 pbc="T T T"
Ti 0.0000 0.0000 2.5466
Ti 0.0000 0.0000 7.9776
Ti 0.0000 2.4767 4.3720
Ti 0.0000 2.4767 9.7125
Ti 2.1449 1.2384 0.8117
Ti 2.1449 1.2384 6.1522
Co 0.0000 0.0000 0.0000
Co 0.0000 0.0000 5.2621
Co 0.0000 2.4767 1.7463
Co 2.1449 1.2384 8.7779
Ir 0.0000 2.4767 7.0289
Ir 2.1449 1.2384 3.4953
```

- Magnetization: 2.490 μB per formula unit
- Energy of formation from the pure elements: -12.95 kcal/mol of atoms


2.
Entry from the Alexandria database: an optimized crystal structure of Na2MgCrCl6 (PBE-GGA).

The structure in extended XYZ format:
```
10
Lattice="3.3664 1.9436 5.8283 -3.3664 1.9436 5.8283 0.0000 -3.8872 5.8283" Properties=species:S:1:pos:R:3 pbc="T T T"
Na 0.0000 0.0000 0.0000
Na 0.0000 0.0000 8.7269
Mg 0.0000 0.0000 3.6300
Cr 0.0000 0.0000 12.3491
Cl -2.6444 0.0284 7.8903
Cl -0.7291 -1.8932 10.8095
Cl 1.2976 -2.3044 7.8903
Cl -1.2750 1.5780 10.8095
Cl 1.3468 2.2759 7.8903
Cl 2.0041 0.3152 10.8095
```

- E_form (uncorrected): -15.1 eV per formula unit
- Magnetization: 4.000 μB per formula unit


3.
Entry from the Alexandria database: an optimized crystal structure of Pm3PrSm4S8 (PBE-GGA).

The structure in extended XYZ format:
```
16
Lattice="4.0305 2.3270 6.5872 -4.0305 2.3270 6.5872 0.0000 -4.6540 6.5872" Properties=species:S:1:pos:R:3 pbc="T T T"
Pm -2.0152 -1.1635 6.5872
Pm -2.0152 1.1635 13.1745
Pm 0.0000 2.3270 6.5872
Pr 0.0000 0.0000 0.0000
Sm -4.0305 0.0000 9.8809
Sm -2.0152 1.1635 3.2936
Sm 2.0152 1.1635 3.2936
Sm 0.0000 0.0000 9.8809
S 0.0000 0.0000 4.9238
S -1.9976 -1.1533 11.4965
S 0.0000 -2.3066 8.2652
S -1.9976 1.1533 8.2652
S 1.9976 -1.1533 11.4965
S 0.0000 2.3066 11.4965
S 1.9976 1.1533 8.2652
S 0.0000 0.0000 14.8379
```

- E_form (uncorrected): -32.4 eV per formula unit
- Magnetization: 0.000 μB per formula unit


4.
Entry from the Alexandria database: an optimized crystal structure of Li2TePb (PBE-GGA).

The structure in extended XYZ format:
```
8
Lattice="4.1858 0.0000 0.0000 0.0000 5.1748 0.0000 0.0000 0.0000 8.7540" Properties=species:S:1:pos:R:3 pbc="T T T"
Li 0.0000 0.0000 2.0706
Li 0.0000 0.0000 6.6834
Li 2.0929 2.5874 2.3064
Li 2.0929 2.5874 6.4476
Te 0.0000 2.5874 4.3770
Te 2.0929 0.0000 0.0000
Pb 0.0000 2.5874 0.0000
Pb 2.0929 0.0000 4.3770
```

- E_form (uncorrected): -1.8 eV per formula unit
- Magnetization: 0.000 μB per formula unit


5.
Entry from the Alexandria database: an optimized crystal structure of AcCrFeP2 (PBE-GGA).

The structure in extended XYZ format:
```
10
Lattice="3.8367 0.0000 0.0000 0.0000 3.8367 0.0000 0.0000 0.0000 11.9834" Properties=species:S:1:pos:R:3 pbc="T T T"
Ac 0.0000 0.0000 0.0000
Ac 1.9184 1.9184 5.9917
Cr 0.0000 1.9184 8.9875
Cr 1.9184 0.0000 2.9958
Fe 0.0000 1.9184 2.9958
Fe 1.9184 0.0000 8.9875
P 0.0000 0.0000 4.2401
P 0.0000 0.0000 7.7432
P 1.9184 1.9184 1.7515
P 1.9184 1.9184 10.2318
```

- Magnetization: 2.792 μB per formula unit
- Energy of formation from the pure elements: -19.06 kcal/mol of atoms


6.
Entry from the Alexandria database: an optimized crystal structure of CsNpBr3 (PBE-GGA).

The structure in extended XYZ format:
```
5
Lattice="5.8297 0.0000 0.0000 0.0000 5.8297 0.0000 0.0000 0.0000 5.8297" Properties=species:S:1:pos:R:3 pbc="T T T"
Cs 0.0000 0.0000 0.0000
Np 2.9149 2.9149 2.9149
Br 0.0000 2.9149 2.9149
Br 2.9149 0.0000 2.9149
Br 2.9149 2.9149 0.0000
```

- E_form (uncorrected): -6.4 eV per formula unit
- Magnetization: 5.000 μB per formula unit


7.
Entry from the Alexandria database: an optimized crystal structure of Tb4Dy3HoSe8 (PBE-GGA).

The structure in extended XYZ format:
```
16
Lattice="4.0813 2.3563 6.6767 -4.0813 2.3563 6.6767 0.0000 -4.7126 6.6767" Properties=species:S:1:pos:R:3 pbc="T T T"
Tb 0.0000 0.0000 0.0000
Tb -2.0406 -1.1782 6.6767
Tb -2.0406 1.1782 13.3534
Tb 0.0000 2.3563 6.6767
Dy -4.0813 0.0000 10.0150
Dy -2.0406 1.1782 3.3383
Dy 2.0406 1.1782 3.3383
Ho 0.0000 0.0000 10.0150
Se 0.0000 0.0000 4.9932
Se -2.0342 -1.1744 11.6647
Se 0.0000 -2.3489 8.3653
Se -2.0342 1.1744 8.3653
Se 2.0342 -1.1744 11.6647
Se 0.0000 2.3489 11.6647
Se 2.0342 1.1744 8.3653
Se 0.0000 0.0000 15.0369
```

- E_form (uncorrected): -28.0 eV per formula unit
- Magnetization: 0.000 μB per formula unit


8.
Entry from the Alexandria database: an optimized crystal structure of ThTlSe2O8 (PBE-GGA).

The structure in extended XYZ format:
```
12
Lattice="4.6874 -3.0825 0.0000 4.6874 3.0825 0.0000 -0.1472 0.0000 8.6204" Properties=species:S:1:pos:R:3 pbc="T T T"
Th 0.0000 0.0000 0.0000
Tl -0.0736 0.0000 4.3102
Se 3.3852 0.0000 1.9167
Se 5.8423 0.0000 6.7037
O 4.2777 1.5261 1.6726
O 2.1970 0.0000 0.6546
O 2.6751 0.0000 3.4109
O 4.9497 1.5261 6.9478
O 4.2777 -1.5261 1.6726
O 6.5524 0.0000 5.2095
O 7.0305 0.0000 7.9658
O 4.9497 -1.5261 6.9478
```

- E_form (uncorrected): -16.3 eV per formula unit
- Magnetization: 0.000 μB per formula unit